A relaxed structure of Na2CdSb. Source: the Alexandria database, functional PBE.

Values from the calculation:
Total energy (eV per atom): -2.11
Space-group type: P4/mmm, No. 123
ΔE_f (raw) (eV per atom): -0.192
Fermi-level density of states (states/eV/cell): 1.3

a = 3.3712 Å, b = 3.3712 Å, c = 9.3191 Å
α = 90.00°, β = 90.00°, γ = 90.00°
Last column: nearest neighbours and their distance in Å.
Atoms (fractional coordinates):
Sb  0.5000  0.5000  0.0000  8 Na 3.30, 4 Sb 3.37
Na  0.0000  0.0000  0.7555  4 Sb 3.30, 4 Cd 3.37, 4 Na 3.37
Na  0.0000  0.0000  0.2445  4 Sb 3.30, 4 Cd 3.37, 4 Na 3.37
Cd  0.5000  0.5000  0.5000  8 Na 3.37, 4 Cd 3.37